Below is a geometry-optimized Ca2CeRh3 structure, with properties calculated at the PBE level.

a = 3.287 Å, b = 5.642 Å, c = 7.868 Å
α = 111.01°, β = 102.06°, γ = 90.00°
Sites, in units of the cell vectors:
Ca  0.671  0.171  0.342
Rh  0.646  0.646  0.292
Rh  0.354  0.354  0.708
Rh  0.000  0.000  0.000
Ce  0.000  0.500  0.000
Ca  0.329  0.829  0.658

- space-group type = Immm (71)
- calculated volume (Å³/cell) = 132.76
- DOS at the Fermi energy (states/eV/cell) = 2.90
- DFT total energy (eV/atom) = -5.658
- density (g/cm³) = 6.6
- energy of formation from the pure elements (eV per atom) = -0.326
- total magnetization (μB per cell) = 0.00

---

Below is a geometry-optimized CaCe2Sb3Rh4 structure, with properties calculated at the PBE level.

a = 4.293 Å, b = 4.293 Å, c = 11.838 Å
α = 90.00°, β = 90.00°, γ = 90.00°
Each line ends with the local moment (μB).
Sites, in units of the cell vectors:
Ce  0.500  0.000  0.240  0.69
Ca  0.500  0.500  0.500  0.02
Sb  0.000  0.000  0.500  -0.01
Sb  0.500  0.000  0.872  0.00
Rh  0.000  0.000  0.000  0.02
Rh  0.500  0.000  0.656  -0.06
Rh  0.000  0.500  0.344  -0.06
Sb  0.000  0.500  0.128  0.00
Ce  0.000  0.500  0.760  0.69
Rh  0.500  0.500  0.000  0.03

- space-group type = P-4m2 (115)
- calculated volume (Å³/cell) = 218.19
- DOS at the Fermi energy (states/eV/cell) = 14.51
- DFT total energy (eV/atom) = -6.314
- density (g/cm³) = 8.4
- total magnetization (μB per cell) = 1.59
- energy relative to the elements, uncorrected (eV/atom) = -0.750

---

Below is a geometry-optimized Ca2CeSb3Rh4 structure, with properties calculated at the PBE level.

a = 4.476 Å, b = 4.476 Å, c = 11.226 Å
α = 90.00°, β = 90.00°, γ = 90.00°
Each line ends with the local moment (μB).
Sites, in units of the cell vectors:
Rh  0.500  0.000  0.640  -0.02
Rh  0.500  0.500  0.000  0.01
Ca  0.000  0.500  0.780  0.00
Rh  0.000  0.000  0.000  0.01
Ce  0.500  0.500  0.500  0.26
Ca  0.500  0.000  0.220  0.00
Rh  0.000  0.500  0.360  -0.02
Sb  0.500  0.000  0.870  0.00
Sb  0.000  0.500  0.130  0.00
Sb  0.000  0.000  0.500  0.00

- space-group type = P-4m2 (115)
- calculated volume (Å³/cell) = 224.87
- DOS at the Fermi energy (states/eV/cell) = 8.95
- DFT total energy (eV/atom) = -5.929
- density (g/cm³) = 7.4
- total magnetization (μB per cell) = 0.30
- energy relative to the elements, uncorrected (eV/atom) = -0.758

---

Below is a geometry-optimized CaCeSb2Rh5 structure, with properties calculated at the PBE level.

a = 4.505 Å, b = 4.505 Å, c = 8.783 Å
α = 90.00°, β = 90.00°, γ = 90.00°
Each line ends with the local moment (μB).
Sites, in units of the cell vectors:
Rh  0.500  0.000  0.291  -0.05
Ce  0.000  0.000  0.000  0.74
Ca  0.000  0.000  0.500  0.00
Rh  0.000  0.500  0.291  -0.05
Rh  0.500  0.000  0.709  -0.05
Sb  0.500  0.500  0.163  -0.01
Rh  0.000  0.500  0.709  -0.05
Sb  0.500  0.500  0.837  -0.01
Rh  0.500  0.500  0.500  -0.08

- space-group type = P4/mmm (123)
- calculated volume (Å³/cell) = 178.26
- DOS at the Fermi energy (states/eV/cell) = 11.58
- DFT total energy (eV/atom) = -6.295
- density (g/cm³) = 8.7
- total magnetization (μB per cell) = 0.53
- energy relative to the elements, uncorrected (eV/atom) = -0.413

---

Below is a geometry-optimized CaCeTlRh structure, with properties calculated at the PBE level.

a = 5.187 Å, b = 5.187 Å, c = 5.187 Å
α = 60.00°, β = 60.00°, γ = 60.00°
Each line ends with the local moment (μB).
Sites, in units of the cell vectors:
Ca  0.750  0.750  0.750  0.00
Rh  0.500  0.500  0.500  -0.04
Tl  0.000  0.000  0.000  0.01
Ce  0.250  0.250  0.250  0.54

- space-group type = F-43m (216)
- calculated volume (Å³/cell) = 98.71
- DOS at the Fermi energy (states/eV/cell) = 7.20
- DFT total energy (eV/atom) = -4.726
- density (g/cm³) = 8.2
- energy of formation from the pure elements (eV per atom) = -0.313
- total magnetization (μB per cell) = 0.57

---

Below is a geometry-optimized CaCeRu structure, with properties calculated at the PBE level.

a = 3.595 Å, b = 5.083 Å, c = 10.323 Å
α = 89.99°, β = 110.40°, γ = 90.01°
Each line ends with the local moment (μB).
Sites, in units of the cell vectors:
Ce  0.854  0.750  0.604  0.22
Ca  0.625  0.250  0.875  0.01
Ru  0.886  0.250  0.636  -0.03
Ca  0.375  0.750  0.125  0.01
Ru  0.114  0.750  0.364  -0.03
Ce  0.146  0.250  0.396  0.22

- space-group type = Pmmn (59)
- calculated volume (Å³/cell) = 176.83
- DOS at the Fermi energy (states/eV/cell) = 9.29
- DFT total energy (eV/atom) = -5.861
- density (g/cm³) = 5.3
- energy of formation from the pure elements (eV per atom) = -0.124
- total magnetization (μB per cell) = 0.59

---

Below is a geometry-optimized CaCe2Ru structure, with properties calculated at the PBE level.

a = 3.460 Å, b = 3.460 Å, c = 9.670 Å
α = 90.00°, β = 90.00°, γ = 90.00°
Each line ends with the local moment (μB).
Sites, in units of the cell vectors:
Ca  0.500  0.500  0.500  0.05
Ce  0.000  0.000  0.828  0.73
Ru  0.500  0.500  0.000  -0.08
Ce  0.000  0.000  0.172  0.73

- space-group type = P4/mmm (123)
- calculated volume (Å³/cell) = 115.79
- DOS at the Fermi energy (states/eV/cell) = 12.08
- DFT total energy (eV/atom) = -5.838
- density (g/cm³) = 6.0
- energy of formation from the pure elements (eV per atom) = -0.052
- total magnetization (μB per cell) = 2.03

---

Below is a geometry-optimized CaCeRu structure, with properties calculated at the PBE level.

a = 3.433 Å, b = 3.433 Å, c = 7.096 Å
α = 104.00°, β = 104.00°, γ = 90.00°
Sites, in units of the cell vectors:
Ce  0.286  0.286  0.571
Ru  0.683  0.683  0.366
Ca  0.031  0.031  0.063

- space-group type = I4mm (107)
- calculated volume (Å³/cell) = 78.59
- DOS at the Fermi energy (states/eV/cell) = 2.63
- DFT total energy (eV/atom) = -5.871
- density (g/cm³) = 5.9
- energy of formation from the pure elements (eV per atom) = -0.134
- total magnetization (μB per cell) = 0.01